1.
VASP calculation (PBE) on a geometry-optimized Tb2InO4 structure.

Its raw formation energy is -2.608 eV/atom. For the calculated density, the calculation gives 8188 kg/m³.

Cell: 5.920 10.080 3.376 Å, 90.00 90.00 90.00°
Fractional positions:
Tb1 0.055 0.172 0.000
Tb2 0.445 0.672 0.000
Tb3 0.555 0.328 0.000
Tb4 0.945 0.828 0.000
In1 0.000 0.500 0.500
In2 0.500 0.000 0.500
O1 0.170 0.720 0.500
O2 0.235 0.972 0.000
O3 0.265 0.472 0.000
O4 0.330 0.220 0.500
O5 0.670 0.780 0.500
O6 0.735 0.528 0.000
O7 0.765 0.028 0.000
O8 0.830 0.280 0.500

***

2.
VASP calculation (PBE) on a geometry-optimized Tb4In2O structure.

Its raw formation energy is -1.104 eV/atom. For the calculated density, the calculation gives 7766 kg/m³. The relative energy among the computed polymorphs comes out at 0.0 meV/atom.

Cell: 6.405 6.881 9.121 Å, 90.00 110.35 90.00°
Fractional positions:
Tb1 0.043 0.001 0.280
Tb2 0.043 0.499 0.280
Tb3 0.364 0.750 0.048
Tb4 0.420 0.750 0.650
Tb5 0.580 0.250 0.350
Tb6 0.636 0.250 0.952
Tb7 0.957 0.501 0.720
Tb8 0.957 0.999 0.720
In1 0.193 0.250 0.025
In2 0.316 0.250 0.591
In3 0.684 0.750 0.409
In4 0.807 0.750 0.975
O1 0.197 0.750 0.791
O2 0.803 0.250 0.209

***

3.
VASP calculation (PBE) on a geometry-optimized Tb4In2O structure.

Its raw formation energy is -1.098 eV/atom. For the calculated density, the calculation gives 8139 kg/m³. The relative energy among the computed polymorphs comes out at 5.1 meV/atom.

Cell: 4.669 4.669 16.496 Å, 90.00 90.00 90.00°
Fractional positions:
Tb1 0.000 0.000 0.170
Tb2 0.000 0.000 0.830
Tb3 0.000 0.500 0.000
Tb4 0.000 0.500 0.500
Tb5 0.500 0.000 0.000
Tb6 0.500 0.000 0.500
Tb7 0.500 0.500 0.330
Tb8 0.500 0.500 0.670
In1 0.000 0.000 0.362
In2 0.000 0.000 0.638
In3 0.500 0.500 0.138
In4 0.500 0.500 0.862
O1 0.000 0.000 0.000
O2 0.500 0.500 0.500

***

4.
VASP calculation (PBE) on a geometry-optimized TbInO3 structure.

Its raw formation energy is -2.519 eV/atom. For the calculated density, the calculation gives 7958 kg/m³.

Cell: 5.873 8.237 5.551 Å, 90.00 90.00 90.00°
Fractional positions:
Tb1 0.064 0.250 0.023
Tb2 0.436 0.750 0.523
Tb3 0.564 0.250 0.477
Tb4 0.936 0.750 0.977
In1 0.000 0.000 0.500
In2 0.000 0.500 0.500
In3 0.500 0.000 0.000
In4 0.500 0.500 0.000
O1 0.069 0.750 0.356
O2 0.191 0.575 0.811
O3 0.191 0.925 0.811
O4 0.309 0.075 0.311
O5 0.309 0.425 0.311
O6 0.431 0.250 0.856
O7 0.569 0.750 0.144
O8 0.691 0.575 0.689
O9 0.691 0.925 0.689
O10 0.809 0.075 0.189
O11 0.809 0.425 0.189
O12 0.931 0.250 0.644